Entry 1:
! Cs2AgIrSe4, optimized geometry, DFT PBE; values from VASP
! V, Å³ per cell: 575.9
! Uncorrected energy, eV per atom: -3.93
&SYSTEM
  ibrav = 0, nat = 16, ntyp = 4
/
ATOMIC_SPECIES
Cs 132.91 Cs.upf
Ag 107.87 Ag.upf
Ir 192.22 Ir.upf
Se 78.96 Se.upf
ATOMIC_POSITIONS crystal
Cs 0.056 0.056 0.694
Cs 0.306 0.306 0.944
Cs 0.694 0.694 0.056
Cs 0.944 0.944 0.306
Ag 0.375 0.375 0.375
Ag 0.625 0.625 0.625
Ir 0.125 0.125 0.125
Ir 0.875 0.875 0.875
Se 0.059 0.299 0.382
Se 0.240 0.618 0.701
Se 0.299 0.059 0.760
Se 0.382 0.760 0.059
Se 0.618 0.240 0.941
Se 0.701 0.941 0.240
Se 0.760 0.382 0.299
Se 0.941 0.701 0.618
CELL_PARAMETERS angstrom
0.000 7.118 12.494
3.238 0.000 12.494
3.238 7.118 0.000

Entry 2:
! CsAgTe2IrSe, optimized geometry, DFT PBE; values from VASP
! V, Å³ per cell: 364.4
! Uncorrected energy, eV per atom: -3.96
&SYSTEM
  ibrav = 0, nat = 12, ntyp = 5
/
ATOMIC_SPECIES
Cs 132.91 Cs.upf
Ag 107.87 Ag.upf
Te 127.60 Te.upf
Ir 192.22 Ir.upf
Se 78.96 Se.upf
ATOMIC_POSITIONS crystal
Cs 0.239 0.761 0.750
Cs 0.761 0.239 0.250
Ag 0.456 0.544 0.250
Ag 0.544 0.456 0.750
Te 0.396 0.604 0.012
Te 0.396 0.604 0.488
Te 0.604 0.396 0.512
Te 0.604 0.396 0.988
Ir 0.000 0.000 0.000
Ir 0.000 0.000 0.500
Se 0.056 0.944 0.250
Se 0.944 0.056 0.750
CELL_PARAMETERS angstrom
2.039 -8.521 0.000
2.039 8.521 0.000
0.000 0.000 10.488

Entry 3:
! CsAg3Te4Ir, optimized geometry, DFT PBE; values from VASP
! V, Å³ per cell: 338.3
! Uncorrected energy, eV per atom: -3.47
&SYSTEM
  ibrav = 0, nat = 9, ntyp = 4
/
ATOMIC_SPECIES
Cs 132.91 Cs.upf
Ag 107.87 Ag.upf
Te 127.60 Te.upf
Ir 192.22 Ir.upf
ATOMIC_POSITIONS crystal
Cs 0.000 0.000 0.000
Ag 0.000 0.500 0.500
Ag 0.500 0.000 0.500
Ag 0.500 0.500 0.000
Te 0.289 0.289 0.289
Te 0.289 0.711 0.711
Te 0.711 0.289 0.711
Te 0.711 0.711 0.289
Ir 0.500 0.500 0.500
CELL_PARAMETERS angstrom
6.968 0.000 0.000
0.000 6.968 0.000
0.000 0.000 6.968

Entry 4:
! Cs2KAg7, optimized geometry, DFT PBE; values from VASP
! V, Å³ per cell: 299.6
! Uncorrected energy, eV per atom: -2.24
&SYSTEM
  ibrav = 0, nat = 10, ntyp = 3
/
ATOMIC_SPECIES
Cs 132.91 Cs.upf
K 39.10 K.upf
Ag 107.87 Ag.upf
ATOMIC_POSITIONS crystal
Cs 0.159 0.841 0.000
Cs 0.841 0.159 0.000
K 0.000 0.000 0.500
Ag 0.000 0.500 0.500
Ag 0.395 0.605 0.312
Ag 0.395 0.605 0.688
Ag 0.500 0.000 0.500
Ag 0.500 0.500 0.000
Ag 0.605 0.395 0.312
Ag 0.605 0.395 0.688
CELL_PARAMETERS angstrom
2.924 -6.818 0.000
2.924 6.818 0.000
0.000 0.000 7.516

Entry 5:
! CsK2Ag2, optimized geometry, DFT PBE; values from VASP
! V, Å³ per cell: 224.2
! Uncorrected energy, eV per atom: -1.70
&SYSTEM
  ibrav = 0, nat = 5, ntyp = 3
/
ATOMIC_SPECIES
Cs 132.91 Cs.upf
K 39.10 K.upf
Ag 107.87 Ag.upf
ATOMIC_POSITIONS crystal
Cs 0.000 0.000 0.000
K 0.250 0.750 0.500
K 0.750 0.250 0.500
Ag 0.405 0.405 0.000
Ag 0.595 0.595 0.000
CELL_PARAMETERS angstrom
-2.760 2.760 7.357
2.760 -2.760 7.357
2.760 2.760 -7.357

Entry 6:
! CsKAgP, optimized geometry, DFT PBE; values from VASP
! V, Å³ per cell: 258.9
! Uncorrected energy, eV per atom: -2.86
&SYSTEM
  ibrav = 0, nat = 8, ntyp = 4
/
ATOMIC_SPECIES
Cs 132.91 Cs.upf
K 39.10 K.upf
Ag 107.87 Ag.upf
P 30.97 P.upf
ATOMIC_POSITIONS crystal
Cs 0.041 0.250 0.189
Cs 0.959 0.750 0.811
K 0.317 0.750 0.484
K 0.683 0.250 0.516
Ag 0.500 0.000 0.000
Ag 0.500 0.500 0.000
P 0.281 0.250 0.741
P 0.719 0.750 0.259
CELL_PARAMETERS angstrom
6.510 0.000 0.000
0.000 6.173 0.000
-1.800 0.000 6.443

Entry 7:
! CsKAgP, optimized geometry, DFT PBE; values from VASP
! V, Å³ per cell: 262.2
! Uncorrected energy, eV per atom: -2.85
&SYSTEM
  ibrav = 0, nat = 8, ntyp = 4
/
ATOMIC_SPECIES
Cs 132.91 Cs.upf
K 39.10 K.upf
Ag 107.87 Ag.upf
P 30.97 P.upf
ATOMIC_POSITIONS crystal
Cs 0.250 0.141 0.859
Cs 0.750 0.859 0.141
K 0.250 0.485 0.201
K 0.750 0.201 0.485
Ag 0.000 0.672 0.672
Ag 0.500 0.672 0.672
P 0.250 0.902 0.425
P 0.750 0.425 0.902
CELL_PARAMETERS angstrom
6.294 0.000 0.000
0.000 3.981 5.231
0.000 -3.981 5.231

Entry 8:
! CsK2Ag3P2, optimized geometry, DFT PBE; values from VASP
! V, Å³ per cell: 228.8
! Uncorrected energy, eV per atom: -3.14
&SYSTEM
  ibrav = 0, nat = 8, ntyp = 4
/
ATOMIC_SPECIES
Cs 132.91 Cs.upf
K 39.10 K.upf
Ag 107.87 Ag.upf
P 30.97 P.upf
ATOMIC_POSITIONS crystal
Cs 0.000 0.000 0.000
K 0.407 0.407 0.407
K 0.593 0.593 0.593
Ag 0.000 0.000 0.500
Ag 0.000 0.500 0.000
Ag 0.500 0.000 0.000
P 0.248 0.248 0.248
P 0.752 0.752 0.752
CELL_PARAMETERS angstrom
3.057 1.765 7.071
-3.057 1.765 7.071
0.000 -3.529 7.071

Entry 9:
! CsK3Ag2P2, optimized geometry, DFT PBE; values from VASP
! V, Å³ per cell: 245.5
! Uncorrected energy, eV per atom: -2.90
&SYSTEM
  ibrav = 0, nat = 8, ntyp = 4
/
ATOMIC_SPECIES
Cs 132.91 Cs.upf
K 39.10 K.upf
Ag 107.87 Ag.upf
P 30.97 P.upf
ATOMIC_POSITIONS crystal
Cs 0.000 0.000 0.000
K 0.070 0.500 0.378
K 0.348 0.000 0.659
K 0.722 0.500 0.715
Ag 0.539 0.252 0.190
Ag 0.539 0.748 0.190
P 0.298 0.500 0.936
P 0.770 0.000 0.448
CELL_PARAMETERS angstrom
6.388 0.000 0.000
0.000 6.124 0.000
-1.674 0.000 6.274

Entry 10:
! Cs2KAg3P2, optimized geometry, DFT PBE; values from VASP
! V, Å³ per cell: 256.1
! Uncorrected energy, eV per atom: -3.05
&SYSTEM
  ibrav = 0, nat = 8, ntyp = 4
/
ATOMIC_SPECIES
Cs 132.91 Cs.upf
K 39.10 K.upf
Ag 107.87 Ag.upf
P 30.97 P.upf
ATOMIC_POSITIONS crystal
Cs 0.094 0.094 0.094
Cs 0.906 0.906 0.906
K 0.500 0.500 0.500
Ag 0.000 0.500 0.500
Ag 0.500 0.000 0.500
Ag 0.500 0.500 0.000
P 0.258 0.258 0.258
P 0.742 0.742 0.742
CELL_PARAMETERS angstrom
3.235 1.867 7.067
-3.235 1.867 7.067
0.000 -3.735 7.067

Entry 11:
! CsKAgP, optimized geometry, DFT PBE; values from VASP
! V, Å³ per cell: 261.0
! Uncorrected energy, eV per atom: -2.85
&SYSTEM
  ibrav = 0, nat = 8, ntyp = 4
/
ATOMIC_SPECIES
Cs 132.91 Cs.upf
K 39.10 K.upf
Ag 107.87 Ag.upf
P 30.97 P.upf
ATOMIC_POSITIONS crystal
Cs 0.000 0.173 0.827
Cs 0.000 0.827 0.173
K 0.500 0.549 0.889
K 0.500 0.889 0.549
Ag 0.252 0.368 0.368
Ag 0.748 0.368 0.368
P 0.000 0.608 0.608
P 0.500 0.126 0.126
CELL_PARAMETERS angstrom
6.227 0.000 0.000
0.000 5.278 3.971
0.000 -5.278 3.971

Entry 12:
! CsKAgSb, optimized geometry, DFT PBE; values from VASP
! V, Å³ per cell: 316.7
! Uncorrected energy, eV per atom: -2.61
&SYSTEM
  ibrav = 0, nat = 8, ntyp = 4
/
ATOMIC_SPECIES
Cs 132.91 Cs.upf
K 39.10 K.upf
Ag 107.87 Ag.upf
Sb 121.76 Sb.upf
ATOMIC_POSITIONS crystal
Cs 0.000 0.172 0.828
Cs 0.000 0.828 0.172
K 0.500 0.141 0.476
K 0.500 0.476 0.141
Ag 0.252 0.645 0.645
Ag 0.748 0.645 0.645
Sb 0.000 0.392 0.392
Sb 0.500 0.899 0.899
CELL_PARAMETERS angstrom
6.641 0.000 0.000
0.000 5.612 4.249
0.000 -5.612 4.249

Entry 13:
! Cs3K2AgSb2, optimized geometry, DFT PBE; values from VASP
! V, Å³ per cell: 342.8
! Uncorrected energy, eV per atom: -2.39
&SYSTEM
  ibrav = 0, nat = 8, ntyp = 4
/
ATOMIC_SPECIES
Cs 132.91 Cs.upf
K 39.10 K.upf
Ag 107.87 Ag.upf
Sb 121.76 Sb.upf
ATOMIC_POSITIONS crystal
Cs 0.000 0.000 0.000
Cs 0.136 0.136 0.136
Cs 0.864 0.864 0.864
K 0.285 0.285 0.285
K 0.715 0.715 0.715
Ag 0.500 0.500 0.500
Sb 0.409 0.409 0.409
Sb 0.591 0.591 0.591
CELL_PARAMETERS angstrom
3.156 1.822 9.935
-3.156 1.822 9.935
0.000 -3.644 9.935

Entry 14:
! Cs2KAg3Sb2, optimized geometry, DFT PBE; values from VASP
! V, Å³ per cell: 292.9
! Uncorrected energy, eV per atom: -2.76
&SYSTEM
  ibrav = 0, nat = 8, ntyp = 4
/
ATOMIC_SPECIES
Cs 132.91 Cs.upf
K 39.10 K.upf
Ag 107.87 Ag.upf
Sb 121.76 Sb.upf
ATOMIC_POSITIONS crystal
Cs 0.087 0.087 0.087
Cs 0.913 0.913 0.913
K 0.500 0.500 0.500
Ag 0.000 0.500 0.500
Ag 0.500 0.000 0.500
Ag 0.500 0.500 0.000
Sb 0.249 0.249 0.249
Sb 0.751 0.751 0.751
CELL_PARAMETERS angstrom
3.317 1.915 7.683
-3.317 1.915 7.683
0.000 -3.831 7.683

Entry 15:
! CsKAgSb, optimized geometry, DFT PBE; values from VASP
! V, Å³ per cell: 316.3
! Uncorrected energy, eV per atom: -2.61
&SYSTEM
  ibrav = 0, nat = 8, ntyp = 4
/
ATOMIC_SPECIES
Cs 132.91 Cs.upf
K 39.10 K.upf
Ag 107.87 Ag.upf
Sb 121.76 Sb.upf
ATOMIC_POSITIONS crystal
Cs 0.250 0.154 0.846
Cs 0.750 0.846 0.154
K 0.250 0.495 0.184
K 0.750 0.184 0.495
Ag 0.000 0.676 0.676
Ag 0.500 0.676 0.676
Sb 0.250 0.918 0.412
Sb 0.750 0.412 0.918
CELL_PARAMETERS angstrom
6.685 0.000 0.000
0.000 4.235 5.586
0.000 -4.235 5.586

Entry 16:
! CsKAgSb, optimized geometry, DFT PBE; values from VASP
! V, Å³ per cell: 312.2
! Uncorrected energy, eV per atom: -2.63
&SYSTEM
  ibrav = 0, nat = 8, ntyp = 4
/
ATOMIC_SPECIES
Cs 132.91 Cs.upf
K 39.10 K.upf
Ag 107.87 Ag.upf
Sb 121.76 Sb.upf
ATOMIC_POSITIONS crystal
Cs 0.041 0.250 0.173
Cs 0.959 0.750 0.827
K 0.314 0.750 0.502
K 0.686 0.250 0.498
Ag 0.500 0.000 0.000
Ag 0.500 0.500 0.000
Sb 0.270 0.250 0.725
Sb 0.730 0.750 0.275
CELL_PARAMETERS angstrom
6.695 0.000 0.000
0.000 6.558 0.000
-2.060 0.000 7.112

Entry 17:
! CsKAg2Te2, optimized geometry, DFT PBE; values from VASP
! V, Å³ per cell: 213.4
! Uncorrected energy, eV per atom: -2.99
&SYSTEM
  ibrav = 0, nat = 6, ntyp = 4
/
ATOMIC_SPECIES
Cs 132.91 Cs.upf
K 39.10 K.upf
Ag 107.87 Ag.upf
Te 127.60 Te.upf
ATOMIC_POSITIONS crystal
Cs 0.000 0.000 0.000
K 0.000 0.000 0.500
Ag 0.333 0.667 0.269
Ag 0.667 0.333 0.731
Te 0.333 0.667 0.732
Te 0.667 0.333 0.268
CELL_PARAMETERS angstrom
4.849 0.000 0.000
-2.425 4.199 0.000
0.000 0.000 10.481

Entry 18:
! CsLaAgSe3, optimized geometry, DFT PBE; values from VASP
! V, Å³ per cell: 397.7
! Uncorrected energy, eV per atom: -4.36
&SYSTEM
  ibrav = 0, nat = 12, ntyp = 4
/
ATOMIC_SPECIES
Cs 132.91 Cs.upf
La 138.91 La.upf
Ag 107.87 Ag.upf
Se 78.96 Se.upf
ATOMIC_POSITIONS crystal
Cs 0.244 0.756 0.750
Cs 0.756 0.244 0.250
La 0.500 0.500 0.000
La 0.500 0.500 0.500
Ag 0.039 0.961 0.250
Ag 0.961 0.039 0.750
Se 0.125 0.875 0.054
Se 0.125 0.875 0.446
Se 0.442 0.558 0.250
Se 0.558 0.442 0.750
Se 0.875 0.125 0.554
Se 0.875 0.125 0.946
CELL_PARAMETERS angstrom
2.201 -7.861 0.000
2.201 7.861 0.000
0.000 0.000 11.491

Entry 19:
! CsLa2AgSe4, optimized geometry, DFT PBE; values from VASP
! V, Å³ per cell: 507.1
! Uncorrected energy, eV per atom: -5.03
&SYSTEM
  ibrav = 0, nat = 16, ntyp = 4
/
ATOMIC_SPECIES
Cs 132.91 Cs.upf
La 138.91 La.upf
Ag 107.87 Ag.upf
Se 78.96 Se.upf
ATOMIC_POSITIONS crystal
Cs 0.113 0.887 0.750
Cs 0.887 0.113 0.250
La 0.368 0.632 0.563
La 0.368 0.632 0.937
La 0.632 0.368 0.063
La 0.632 0.368 0.437
Ag 0.164 0.836 0.250
Ag 0.836 0.164 0.750
Se 0.000 0.000 0.000
Se 0.000 0.000 0.500
Se 0.260 0.740 0.103
Se 0.260 0.740 0.397
Se 0.433 0.567 0.750
Se 0.567 0.433 0.250
Se 0.740 0.260 0.603
Se 0.740 0.260 0.897
CELL_PARAMETERS angstrom
2.211 -7.535 0.000
2.211 7.535 0.000
0.000 0.000 15.217

Entry 20:
! CsLiAg, optimized geometry, DFT PBE; values from VASP
! V, Å³ per cell: 114.0
! Uncorrected energy, eV per atom: -1.56
&SYSTEM
  ibrav = 0, nat = 3, ntyp = 3
/
ATOMIC_SPECIES
Cs 132.91 Cs.upf
Li 6.94 Li.upf
Ag 107.87 Ag.upf
ATOMIC_POSITIONS crystal
Cs 0.000 0.000 0.000
Li 0.750 0.750 0.750
Ag 0.500 0.500 0.500
CELL_PARAMETERS angstrom
0.000 3.848 3.848
3.848 0.000 3.848
3.848 3.848 0.000